# 1
VASP calculation (PBE-GGA) on crystalline BeAgPO at its relaxed geometry.

Lattice parameters (Å, degrees): 3.6233 3.6233 8.6770 90.00 90.00 90.00
With the nearest neighbours (Å) after each atom.
Positions (direct):
Ag 0.0000 0.0000 0.5000  4 P 2.56, 4 Ag 2.56
Ag 0.5000 0.5000 0.5000  4 P 2.56, 4 Ag 2.56
Be 0.5000 0.0000 0.0198  4 O 1.82
Be 0.0000 0.5000 0.9802  4 O 1.82
O 0.0000 0.0000 0.0000  4 Be 1.82
O 0.5000 0.5000 0.0000  4 Be 1.82
P 0.5000 0.0000 0.2919  1 Be 2.36, 4 Ag 2.56
P 0.0000 0.5000 0.7081  1 Be 2.36, 4 Ag 2.56

Computed properties:
E_tot, eV/atom: -4.7131
Calculated density, g cm⁻³: 4.78
SG: P4/nmm (129)

---

# 2
VASP calculation (PBE-GGA) on crystalline BeAgSeO at its relaxed geometry.

Lattice parameters (Å, degrees): 5.2297 16.7472 5.1619 90.00 90.00 90.00
With the nearest neighbours (Å) after each atom.
Positions (direct):
Ag 0.7505 0.4194 0.2490  2 Ag 2.61, 1 O 2.75, 4 Se 2.88-2.92
Ag 0.7495 0.9194 0.2490  2 Ag 2.61, 1 O 2.75, 4 Se 2.88-2.92
Ag 0.2505 0.4194 0.2510  2 Ag 2.61, 1 O 2.75, 4 Se 2.88-2.92
Ag 0.2495 0.9194 0.2510  2 Ag 2.61, 1 O 2.75, 4 Se 2.88-2.92
Ag 0.7505 0.0806 0.7490  2 Ag 2.61, 1 O 2.75, 4 Se 2.88-2.92
Ag 0.7495 0.5806 0.7490  2 Ag 2.61, 1 O 2.75, 4 Se 2.88-2.92
Ag 0.2505 0.0806 0.7510  2 Ag 2.61, 1 O 2.75, 4 Se 2.88-2.92
Ag 0.2495 0.5806 0.7510  2 Ag 2.61, 1 O 2.75, 4 Se 2.88-2.92
Be 0.0487 0.2462 0.1256  3 O 1.59-1.70
Be 0.4513 0.7462 0.1256  3 O 1.59-1.70
Be 0.5487 0.2462 0.3744  3 O 1.59-1.70
Be 0.9513 0.7462 0.3744  3 O 1.59-1.70
Be 0.0487 0.2538 0.6256  3 O 1.59-1.70
Be 0.4513 0.7538 0.6256  3 O 1.59-1.70
Be 0.5487 0.2538 0.8744  3 O 1.59-1.70
Be 0.9513 0.7538 0.8744  3 O 1.59-1.70
O 0.7258 0.2597 0.1268  3 Be 1.59-1.70
O 0.7742 0.7597 0.1268  3 Be 1.59-1.70
O 0.2258 0.2597 0.3732  3 Be 1.59-1.70
O 0.2742 0.7597 0.3732  3 Be 1.59-1.70
O 0.7258 0.2403 0.6268  3 Be 1.59-1.70
O 0.7742 0.7403 0.6268  3 Be 1.59-1.70
O 0.2258 0.2403 0.8732  3 Be 1.59-1.70
O 0.2742 0.7403 0.8732  3 Be 1.59-1.70
Se 0.9962 0.0811 0.2482  2 Se 2.61, 1 Be 2.85, 4 Ag 2.88-2.92
Se 0.5038 0.5811 0.2482  2 Se 2.61, 1 Be 2.85, 4 Ag 2.88-2.92
Se 0.4962 0.0811 0.2518  2 Se 2.61, 1 Be 2.85, 4 Ag 2.88-2.92
Se 0.0038 0.5811 0.2518  2 Se 2.61, 1 Be 2.85, 4 Ag 2.88-2.92
Se 0.9962 0.4189 0.7482  2 Se 2.61, 1 Be 2.85, 4 Ag 2.88-2.92
Se 0.5038 0.9189 0.7482  2 Se 2.61, 1 Be 2.85, 4 Ag 2.88-2.92
Se 0.4962 0.4189 0.7518  2 Se 2.61, 1 Be 2.85, 4 Ag 2.88-2.92
Se 0.0038 0.9189 0.7518  2 Se 2.61, 1 Be 2.85, 4 Ag 2.88-2.92

Computed properties:
E_tot, eV/atom: -4.8161
Calculated density, g cm⁻³: 6.22
SG: Pbca (61)

---

# 3
VASP calculation (PBE-GGA) on crystalline BeAgSeO at its relaxed geometry.

Lattice parameters (Å, degrees): 6.2706 6.6152 6.1360 90.01 90.00 90.03
With the nearest neighbours (Å) after each atom.
Positions (direct):
Ag 0.4990 0.0263 0.4017  2 O 2.09-2.12
Ag 0.9991 0.9736 0.4018  2 O 2.09-2.12
Ag 0.5011 0.9734 0.9017  2 O 2.09-2.12
Ag 0.0011 0.0266 0.9018  2 O 2.09-2.12
Be 0.5685 0.3619 0.0534  1 O 1.52
Be 0.0685 0.6380 0.0534  1 O 1.52
Be 0.4315 0.6378 0.5534  1 O 1.52
Be 0.9313 0.3621 0.5535  1 O 1.52
O 0.9159 0.8008 0.1297  1 Be 1.52
O 0.4156 0.1991 0.1298  1 Be 1.52
O 0.5844 0.8007 0.6297  1 Be 1.52
O 0.0842 0.1996 0.6298  1 Be 1.52
Se 0.9092 0.3487 0.1651  3 Be 2.25-2.39
Se 0.4093 0.6512 0.1651  3 Be 2.25-2.39
Se 0.5905 0.3486 0.6651  3 Be 2.25-2.39
Se 0.0907 0.6515 0.6651  3 Be 2.25-2.39

Computed properties:
E_tot, eV/atom: -4.3343
Calculated density, g cm⁻³: 5.53
SG: Pca2_1 (29)

---

# 4
VASP calculation (PBE-GGA) on crystalline BeAgSeO at its relaxed geometry.

Lattice parameters (Å, degrees): 3.9695 3.9695 8.1938 90.00 90.00 90.00
With the nearest neighbours (Å) after each atom.
Positions (direct):
Ag 0.7500 0.7500 0.1294  1 O 2.26
Ag 0.2500 0.2500 0.8706  1 O 2.26
Be 0.2500 0.2500 0.3207  1 O 1.43
Be 0.7500 0.7500 0.6793  1 O 1.43
O 0.2500 0.2500 0.1465  1 Be 1.43
O 0.7500 0.7500 0.8535  1 Be 1.43
Se 0.7500 0.2500 0.5000  4 Be 2.47
Se 0.2500 0.7500 0.5000  4 Be 2.47

Computed properties:
E_tot, eV/atom: -4.1203
Calculated density, g cm⁻³: 5.45
SG: P4/nmm (129)

---

# 5
VASP calculation (PBE-GGA) on crystalline BeAgSeO at its relaxed geometry.

Lattice parameters (Å, degrees): 3.3072 3.3073 11.5301 90.00 90.00 90.00
With the nearest neighbours (Å) after each atom.
Positions (direct):
Ag 0.7500 0.7500 0.3911  5 O 2.34-2.46
Ag 0.2500 0.2500 0.6089  5 O 2.34-2.46
Be 0.7500 0.2500 0.0000  4 Se 2.20, 4 Be 2.34
Be 0.2500 0.7500 0.0000  4 Se 2.20, 4 Be 2.34
O 0.2500 0.2500 0.3955  5 Ag 2.34-2.46
O 0.7500 0.7500 0.6045  5 Ag 2.34-2.46
Se 0.2500 0.2500 0.1257  4 Be 2.20
Se 0.7500 0.7500 0.8743  4 Be 2.20

Computed properties:
E_tot, eV/atom: -3.9259
Calculated density, g cm⁻³: 5.58
SG: P4/nmm (129)

---

# 6
VASP calculation (PBE-GGA) on crystalline BeAgSeO at its relaxed geometry.

Lattice parameters (Å, degrees): 4.9897 6.8227 7.7275 90.00 90.00 90.00
With the nearest neighbours (Å) after each atom.
Positions (direct):
Ag 0.3053 0.5574 0.1634  2 O 2.40-2.61, 3 Se 2.58-2.63
Ag 0.6947 0.0574 0.3366  2 O 2.40-2.61, 3 Se 2.58-2.63
Ag 0.1947 0.4426 0.6634  2 O 2.40-2.61, 3 Se 2.58-2.63
Ag 0.8053 0.9426 0.8366  2 O 2.40-2.61, 3 Se 2.58-2.63
Be 0.2041 0.1688 0.0303  2 O 1.50-1.53
Be 0.7959 0.6688 0.4697  2 O 1.50-1.53
Be 0.2959 0.8312 0.5303  2 O 1.50-1.53
Be 0.7041 0.3312 0.9697  2 O 1.50-1.53
O 0.4778 0.2442 0.0779  2 Be 1.50-1.53
O 0.5222 0.7442 0.4221  2 Be 1.50-1.53
O 0.0222 0.7558 0.5779  2 Be 1.50-1.53
O 0.9778 0.2558 0.9221  2 Be 1.50-1.53
Se 0.0355 0.8798 0.1305  1 Be 2.28
Se 0.9645 0.3798 0.3695  1 Be 2.28
Se 0.4645 0.1202 0.6305  1 Be 2.28
Se 0.5355 0.6202 0.8695  1 Be 2.28

Computed properties:
E_tot, eV/atom: -4.6845
Calculated density, g cm⁻³: 5.35
SG: P2_12_12_1 (19)

---

# 7
VASP calculation (PBE-GGA) on crystalline BeAgSeO at its relaxed geometry.

Lattice parameters (Å, degrees): 4.0693 4.0693 7.1287 90.00 90.00 90.00
With the nearest neighbours (Å) after each atom.
Positions (direct):
Ag 0.7500 0.2500 0.0000  4 Be 2.70, 4 Ag 2.88, 4 Se 2.93
Ag 0.2500 0.7500 0.0000  4 Be 2.70, 4 Ag 2.88, 4 Se 2.93
Be 0.7500 0.7500 0.2498  1 O 1.45
Be 0.2500 0.2500 0.7502  1 O 1.45
O 0.7500 0.7500 0.4538  1 Be 1.45
O 0.2500 0.2500 0.5462  1 Be 1.45
Se 0.2500 0.2500 0.2961  1 O 1.78
Se 0.7500 0.7500 0.7039  1 O 1.78

Computed properties:
E_tot, eV/atom: -4.0235
Calculated density, g cm⁻³: 5.96
SG: P4/nmm (129)

---

# 8
VASP calculation (PBE-GGA) on crystalline BeAgSeO at its relaxed geometry.

Lattice parameters (Å, degrees): 6.4782 5.4333 7.7592 90.00 90.00 90.00
With the nearest neighbours (Å) after each atom.
Positions (direct):
Ag 0.2651 0.2996 0.0321  1 O 2.48, 2 Be 2.56-2.72, 2 Se 2.62-2.65
Ag 0.7349 0.7996 0.4679  1 O 2.48, 2 Be 2.56-2.72, 2 Se 2.62-2.65
Ag 0.2349 0.7004 0.5321  1 O 2.48, 2 Be 2.56-2.72, 2 Se 2.62-2.65
Ag 0.7651 0.2004 0.9679  1 O 2.48, 2 Be 2.56-2.72, 2 Se 2.62-2.65
Be 0.4137 0.7774 0.2426  2 O 1.47-1.48
Be 0.5863 0.2774 0.2574  2 O 1.47-1.48
Be 0.0863 0.2226 0.7425  2 O 1.47-1.48
Be 0.9137 0.7226 0.7574  2 O 1.47-1.48
O 0.4881 0.5205 0.2413  2 Be 1.47-1.48
O 0.5119 0.0205 0.2587  2 Be 1.47-1.48
O 0.0119 0.4795 0.7413  2 Be 1.47-1.48
O 0.9881 0.9795 0.7587  2 Be 1.47-1.48
Se 0.0417 0.7834 0.2416  1 Be 2.41, 2 Ag 2.62-2.65
Se 0.9583 0.2834 0.2584  1 Be 2.41, 2 Ag 2.62-2.65
Se 0.4583 0.2166 0.7416  1 Be 2.41, 2 Ag 2.62-2.65
Se 0.5417 0.7166 0.7584  1 Be 2.41, 2 Ag 2.62-2.65

Computed properties:
E_tot, eV/atom: -4.6883
Calculated density, g cm⁻³: 5.15
SG: P2_12_12_1 (19)

---

Number 1: calculated volume 14.2 Å³/atom. Number 2: calculated volume 14.1 Å³/atom. Number 3: calculated volume 15.9 Å³/atom. Number 4: calculated volume 16.1 Å³/atom. Number 5: calculated volume 15.8 Å³/atom. Number 6: calculated volume 16.4 Å³/atom. Number 7: calculated volume 14.8 Å³/atom. Number 8: calculated volume 17.1 Å³/atom.